Computed, not measured: an optimized crystal structure of AsIr2C at the GGA-PBE level of DFT.

Energy of formation from the pure elements (eV/atom): 0.24
Crystal system: tetragonal
Total magnetization (μB per formula unit): 0.00
Energy (eV/atom): -7.659
Polymorph energy (0 for the lowest one) (meV/atom): 0
Symmetry: I-42d (122)

Cell: 5.0233 5.0233 10.1871 Å, 90.00 90.00 90.00°
Last column: nearest neighbours and their distance in Å.
Fractional coordinates of all 16 atoms:
As 0.0000 0.0000 0.0000  4 Ir 2.42
As 0.0000 0.5000 0.2500  4 Ir 2.42
As 0.5000 0.0000 0.7500  4 Ir 2.42
As 0.5000 0.5000 0.5000  4 Ir 2.42
Ir 0.1756 0.2500 0.6250  2 C 1.99
Ir 0.2500 0.6756 0.8750  2 C 1.99
Ir 0.2500 0.8244 0.3750  2 C 1.99
Ir 0.3244 0.2500 0.1250  2 C 1.99
Ir 0.6756 0.7500 0.1250  2 C 1.99
Ir 0.7500 0.1756 0.3750  2 C 1.99
Ir 0.7500 0.3244 0.8750  2 C 1.99
Ir 0.8244 0.7500 0.6250  2 C 1.99
C 0.0000 0.0000 0.5000  4 Ir 1.99
C 0.0000 0.5000 0.7500  4 Ir 1.99
C 0.5000 0.0000 0.2500  4 Ir 1.99
C 0.5000 0.5000 0.0000  4 Ir 1.99